Record 1
Density functional theory data (GGA-PBE) for an optimized crystal structure of AlTc2Ge.

Summary:
Energy relative to the lowest polymorph listed for this composition, eV/atom: 0.0049
Energy, eV/atom: -7.43
Symmetry: Fm-3m (225)

```
data_AlTc2Ge
_cell_length_a 4.315
_cell_length_b 4.315
_cell_length_c 4.315
_cell_angle_alpha 60.00
_cell_angle_beta 60.00
_cell_angle_gamma 60.00
_space_group_name_H-M_alt 'P 1'
_space_group_IT_number 1
loop_
_space_group_symop_operation_xyz
'x,y,z'
loop_
_atom_site_label
_atom_site_type_symbol
_atom_site_fract_x
_atom_site_fract_y
_atom_site_fract_z
Ge1 Ge 0.500 0.500 0.500
Tc1 Tc 0.250 0.250 0.250
Tc2 Tc 0.750 0.750 0.750
Al1 Al 0.000 0.000 0.000
```

---

Record 2
Density functional theory data (GGA-PBE) for an optimized crystal structure of Al2TcGe.

Summary:
Energy relative to the lowest polymorph listed for this composition, eV/atom: 0.2255
Energy, eV/atom: -5.21
Symmetry: I-42d (122)

```
data_Al2TcGe
_cell_length_a 7.365
_cell_length_b 7.365
_cell_length_c 5.804
_cell_angle_alpha 50.62
_cell_angle_beta 50.62
_cell_angle_gamma 90.00
_space_group_name_H-M_alt 'P 1'
_space_group_IT_number 1
loop_
_space_group_symop_operation_xyz
'x,y,z'
loop_
_atom_site_label
_atom_site_type_symbol
_atom_site_fract_x
_atom_site_fract_y
_atom_site_fract_z
Ge1 Ge 0.500 0.500 0.000
Ge2 Ge 0.250 0.750 0.500
Tc1 Tc 0.000 0.000 0.000
Tc2 Tc 0.750 0.250 0.500
Al1 Al 0.644 0.125 0.250
Al2 Al 0.106 0.625 0.250
Al3 Al 0.375 0.356 0.750
Al4 Al 0.875 0.894 0.750
```